[1]
NiHg2 | PBE | relaxed

The value obtained for the calculated volume is 20.55 Å³ per atom. As for the total magnetic moment: 0.0000 μB per atom. The value obtained for the raw total energy is -5.68 eV/f.u. Its calculated formation energy is 0.2341 eV per atom.

The structure belongs to space group Fm-3m (No. 225); the cell edges are 6.2706, 6.2706 and 6.2706 Å and the angles 90.00°, 90.00° and 90.00°. Symmetry generates all atoms from Ni at (0.0000, 0.0000, 0.0000) and Hg at (0.2500, 0.2500, 0.2500).

***

[2]
CoAsRh3 | PBE | relaxed

The value obtained for the calculated volume is 18.24 Å³ per atom. As for the total magnetic moment: 0.5642 μB per atom. The value obtained for the raw total energy is -30.04 eV/f.u. The value obtained for the energy above the most stable polymorph in this dataset is 0.0 meV per atom. Its calculated formation energy is 0.7532 eV per atom.

The structure belongs to space group Pm-3m (No. 221); the cell edges are 4.5015, 4.5015 and 4.5015 Å and the angles 90.00°, 90.00° and 90.00°. Symmetry generates all atoms from Co at (0.0000, 0.0000, 0.0000), As at (0.5000, 0.5000, 0.5000) and Rh at (0.0000, 0.5000, 0.5000).

***

[3]
Y2Er3Se6 | PBE | relaxed

The value obtained for the calculated volume is 26.33 Å³ per atom. As for the total magnetic moment: 0.0000 μB per atom. The value obtained for the raw total energy is -66.75 eV/f.u. The uncorrected formation energy comes out at -1748 meV/atom. The value obtained for the energy above the most stable polymorph in this dataset is 102.1 meV per atom.

The structure belongs to space group R-3m (No. 166, hexagonal axes); the cell edges are 4.0947, 4.0947 and 59.8431 Å and the angles 90.00°, 90.00° and 120.00°. Symmetry generates all atoms from Y at (0.0000, 0.0000, 0.0538), Er at (0.0000, 0.0000, 0.2198), Er at (0.0000, 0.0000, 0.5000), Se at (0.0000, 0.0000, 0.1398), Se at (0.0000, 0.0000, 0.3032) and Se at (0.0000, 0.0000, 0.4187).